# 1
DFT (PBE) results for crystalline CrSb5 at its relaxed geometry.

a b c (Å): 3.207 3.207 14.964
angles (deg): 90.00 90.00 90.00
Positions (direct):
Cr 0.000 0.000 0.000
Sb 0.000 0.000 0.324
Sb 0.000 0.000 0.676
Sb 0.500 0.500 0.122
Sb 0.500 0.500 0.500
Sb 0.500 0.500 0.878

Output
* space-group type: P4/mmm (123)
* Fermi-level density of states: 4.016 states/eV/f.u.
* formation energy without anion corrections: 6.16 kcal/mol of atoms
* uncorrected energy: -28.6 eV/cell


# 2
DFT (PBE) results for crystalline Cr5Sb at its relaxed geometry.

a b c (Å): 4.855 4.855 5.882
angles (deg): 107.54 107.54 36.33
Positions (direct):
Cr 0.000 0.000 0.000
Cr 0.325 0.325 0.149
Cr 0.325 0.325 0.675
Cr 0.675 0.675 0.325
Cr 0.675 0.675 0.851
Sb 0.000 0.000 0.500

Output
* space-group type: C2/m (12)
* Fermi-level density of states: 4.549 states/eV/f.u.
* formation energy without anion corrections: 4.64 kcal/mol of atoms
* uncorrected energy: -51.0 eV/cell